# SiSbTe2Se

An optimized crystal structure of SiSbTe2Se (PBE, Alexandria).

It has space group P4/mmm (No. 123), with a = 5.138 Å, b = 5.138 Å, c = 5.422 Å, α = 90.00°, β = 90.00° and γ = 90.00°. Symmetry generates all atoms from Si at (0.000, 0.000, 0.000), Sb at (0.000, 0.000, 0.500), Te at (0.000, 0.500, 0.000) and Se at (0.500, 0.500, 0.500).

For the energy, the calculation gives -3.224 eV per atom. The energy above the most stable polymorph in this dataset is 0.000 eV per atom. As for the density of states at the Fermi level: 5.55 states/eV/cell. The energy relative to the elements, uncorrected is 0.638 eV/atom.



# SiSb2TeSe

An optimized crystal structure of SiSb2TeSe (PBE, Alexandria).

It has space group P4/mmm (No. 123), with a = 5.408 Å, b = 5.408 Å, c = 5.398 Å, α = 90.00°, β = 90.00° and γ = 90.00°. Symmetry generates all atoms from Si at (0.000, 0.000, 0.000), Sb at (0.000, 0.500, 0.500), Te at (0.500, 0.500, 0.000) and Se at (0.500, 0.500, 0.500).

For the energy, the calculation gives -3.134 eV per atom. The energy above the most stable polymorph in this dataset is 0.272 eV per atom. As for the density of states at the Fermi level: 5.51 states/eV/cell. The energy relative to the elements, uncorrected is 0.924 eV/atom.



# Si2SbTeSe

An optimized crystal structure of Si2SbTeSe (PBE, Alexandria).

It has space group P4/mmm (No. 123), with a = 4.974 Å, b = 4.974 Å, c = 5.582 Å, α = 90.00°, β = 90.00° and γ = 90.00°. Symmetry generates all atoms from Si at (0.000, 0.500, 0.000), Sb at (0.000, 0.000, 0.500), Te at (0.500, 0.500, 0.500) and Se at (0.000, 0.000, 0.000).

For the energy, the calculation gives -3.448 eV per atom. As for the density of states at the Fermi level: 4.53 states/eV/cell. The energy relative to the elements, uncorrected is 0.871 eV/atom.



# SiSbTe2Se

An optimized crystal structure of SiSbTe2Se (PBE, Alexandria).

It has space group P4/mmm (No. 123), with a = 5.404 Å, b = 5.404 Å, c = 5.444 Å, α = 90.00°, β = 90.00° and γ = 90.00°. Symmetry generates all atoms from Si at (0.000, 0.000, 0.000), Sb at (0.500, 0.500, 0.000), Te at (0.000, 0.500, 0.500) and Se at (0.500, 0.500, 0.500).

For the energy, the calculation gives -3.002 eV per atom. The energy above the most stable polymorph in this dataset is 0.222 eV per atom. As for the density of states at the Fermi level: 4.78 states/eV/cell. The energy relative to the elements, uncorrected is 0.861 eV/atom.



# SiSb2TeSe

An optimized crystal structure of SiSb2TeSe (PBE, Alexandria).

It has space group P4/mmm (No. 123), with a = 5.278 Å, b = 5.278 Å, c = 5.086 Å, α = 90.00°, β = 90.00° and γ = 90.00°. Symmetry generates all atoms from Si at (0.000, 0.000, 0.000), Sb at (0.000, 0.500, 0.000), Te at (0.000, 0.000, 0.500) and Se at (0.500, 0.500, 0.500).

For the energy, the calculation gives -3.406 eV per atom. The energy above the most stable polymorph in this dataset is 0.000 eV per atom. As for the density of states at the Fermi level: 4.65 states/eV/cell. The energy relative to the elements, uncorrected is 0.653 eV/atom.



# Th8SiSb4Se3

An optimized crystal structure of Th8SiSb4Se3 (PBE, Alexandria).

It has space group R-3m (No. 166, hexagonal axes), with a = 8.7172 Å, b = 8.7172 Å, c = 21.4723 Å, α = 90.00°, β = 90.00° and γ = 120.00°. Symmetry generates all atoms from Th at (0.0000, 0.0000, 0.2431), Th at (0.0072, 0.5036, 0.2418), Si at (0.0000, 0.0000, 0.5000), Sb at (0.0000, 0.0000, 0.0000), Sb at (0.0000, 0.5000, 0.0000) and Se at (0.0000, 0.5000, 0.5000).

For the energy, the calculation gives -6.871 eV per atom. As for the density of states at the Fermi level: 34.32 states/eV/cell. The energy relative to the elements, uncorrected is -1.138 eV/atom.